(1)
Here is a relaxed MgCr crystal from the Alexandria database. Energies are from PBE-GGA.

## Properties
- Crystal system: trigonal
- SG: No. 166
- E above lowest polymorph: 0.80 eV per formula unit
- Formation energy: 0.64 eV per atom

```
MgCr
1.0
2.9420 0.0000 0.0000
-1.4710 2.5478 0.0000
0.0000 0.0000 14.0607
Mg Cr
3 3
Cartesian
0.0000 0.0000 0.0000 Mg
0.0000 1.6986 9.3738 Mg
1.4710 0.8493 4.6869 Mg
0.0000 0.0000 7.0304 Cr
0.0000 1.6986 2.3435 Cr
1.4710 0.8493 11.7173 Cr
```

---

(2)
Here is a relaxed TbThCd6 crystal from the Alexandria database. Energies are from PBE-GGA.

## Properties
- Crystal system: orthorhombic
- SG: No. 38
- Formation energy: -0.21 eV per atom

```
TbThCd6
1.0
4.9770 0.0000 0.0000
0.0000 6.9553 0.0000
0.0000 0.0000 11.4142
Tb Th Cd
2 2 12
Cartesian
0.0000 0.0000 0.0000 Tb
0.0000 3.4776 5.7071 Tb
2.4885 0.0000 7.9803 Th
2.4885 3.4776 2.2732 Th
0.0000 0.0000 5.8949 Cd
0.0000 1.5329 3.0177 Cd
0.0000 1.9448 8.7248 Cd
0.0000 3.4776 0.1878 Cd
0.0000 5.0105 8.7248 Cd
0.0000 5.4224 3.0177 Cd
2.4885 0.0000 2.0372 Cd
2.4885 1.5735 4.9977 Cd
2.4885 1.9041 10.7047 Cd
2.4885 3.4776 7.7443 Cd
2.4885 5.0512 10.7047 Cd
2.4885 5.3817 4.9977 Cd
```

---

(3)
Here is a relaxed CoReTeN2 crystal from the Alexandria database. Energies are from PBE-GGA.

## Properties
- Crystal system: tetragonal
- ΔE_f (raw): 1.72 eV/atom
- SG: No. 123
- E above lowest polymorph: 5.12 eV per formula unit

```
CoReTeN2
1.0
3.7672 0.0000 0.0000
0.0000 3.7672 0.0000
0.0000 0.0000 5.3132
Co Re Te N
1 1 1 2
Cartesian
0.0000 0.0000 0.0000 Co
1.8836 1.8836 2.6566 Re
0.0000 0.0000 2.6566 Te
0.0000 1.8836 0.0000 N
1.8836 0.0000 0.0000 N
```

---

(4)
Here is a relaxed KPH2 crystal from the Alexandria database. Energies are from PBE-GGA.

## Properties
- Crystal system: tetragonal
- SG: No. 141
- E above lowest polymorph: 1.30 eV per formula unit

```
KPH2
1.0
4.7299 0.0000 0.0000
0.0000 4.7299 0.0000
0.0000 0.0000 10.7214
K P H
4 4 8
Cartesian
0.0000 1.1825 4.0205 K
0.0000 3.5475 6.7009 K
2.3650 1.1825 1.3402 K
2.3650 3.5475 9.3812 K
0.0000 1.1825 9.3812 P
0.0000 3.5475 1.3402 P
2.3650 1.1825 6.7009 P
2.3650 3.5475 4.0205 P
0.0000 0.0000 0.0000 H
0.0000 2.3650 0.0000 H
1.1825 1.1825 8.0410 H
1.1825 3.5475 2.6803 H
2.3650 0.0000 5.3607 H
2.3650 2.3650 5.3607 H
3.5475 1.1825 8.0410 H
3.5475 3.5475 2.6803 H
```

---

(5)
Here is a relaxed CaTlW crystal from the Alexandria database. Energies are from PBE-GGA.

## Properties
- Crystal system: orthorhombic
- SG: No. 44
- E above lowest polymorph: 0.52 eV per formula unit
- Formation energy: 0.84 eV per atom

```
CaTlW
1.0
3.1269 0.0000 0.0000
0.0000 4.0728 0.0000
0.0000 0.0000 10.8426
Ca Tl W
2 2 2
Cartesian
0.0000 0.0000 0.0000 Ca
1.5634 2.0364 5.4213 Ca
0.0000 0.0000 7.5002 Tl
1.5634 2.0364 2.0789 Tl
0.0000 0.0000 3.4789 W
1.5634 2.0364 8.9001 W
```

---

(6)
Here is a relaxed CdWAu crystal from the Alexandria database. Energies are from PBE-GGA.

## Properties
- Crystal system: cubic
- SG: No. 216
- E above lowest polymorph: 1.90 eV per formula unit
- Formation energy: 1.00 eV per atom

```
CdWAu
1.0
6.2943 0.0000 0.0000
0.0000 6.2943 0.0000
0.0000 0.0000 6.2943
Cd W Au
4 4 4
Cartesian
0.0000 0.0000 0.0000 Cd
0.0000 3.1472 3.1472 Cd
3.1472 0.0000 3.1472 Cd
3.1472 3.1472 0.0000 Cd
0.0000 0.0000 3.1472 W
0.0000 3.1472 0.0000 W
3.1472 0.0000 0.0000 W
3.1472 3.1472 3.1472 W
1.5736 1.5736 4.7207 Au
1.5736 4.7207 1.5736 Au
4.7207 1.5736 1.5736 Au
4.7207 4.7207 4.7207 Au
```

---

(7)
Here is a relaxed YTm6Rh2 crystal from the Alexandria database. Energies are from PBE-GGA.

## Properties
- Crystal system: monoclinic
- SG: No. 12
- Formation energy: -0.42 eV per atom

```
YTm6Rh2
1.0
7.8877 -1.8463 0.0000
7.8877 1.8463 0.0000
-6.9438 0.0000 8.1948
Y Tm Rh
1 6 2
Cartesian
0.0000 0.0000 0.0000 Y
-4.4742 0.0000 5.6461 Tm
1.6461 0.0000 3.1522 Tm
-1.7575 0.0000 7.7473 Tm
10.5891 0.0000 0.4475 Tm
7.1855 0.0000 5.0426 Tm
13.3058 0.0000 2.5487 Tm
1.2834 0.0000 5.9510 Rh
7.5482 0.0000 2.2438 Rh
```

---

(8)
Here is a relaxed Er5Ag2Bi crystal from the Alexandria database. Energies are from PBE-GGA.

## Properties
- Crystal system: tetragonal
- SG: No. 140
- Formation energy: -0.37 eV per atom

```
Er5Ag2Bi
1.0
-4.0513 4.0513 6.5411
4.0513 -4.0513 6.5411
4.0513 4.0513 -6.5411
Er Ag Bi
10 4 2
Cartesian
0.0000 0.0000 0.0000 Er
5.2876 1.2363 -1.9077 Er
1.2363 2.8150 -1.9077 Er
5.2876 1.2363 1.9077 Er
1.2363 2.8150 1.9077 Er
0.0000 0.0000 6.5411 Er
2.8150 1.2363 4.6335 Er
-1.2363 2.8150 4.6335 Er
2.8150 1.2363 8.4488 Er
-1.2363 2.8150 8.4488 Er
2.9459 1.1053 0.0000 Ag
2.9459 -1.1053 6.5411 Ag
1.1053 5.1566 0.0000 Ag
1.1053 2.9459 6.5411 Ag
0.0000 0.0000 3.2706 Bi
0.0000 0.0000 9.8117 Bi
```

---

(9)
Here is a relaxed NaPm2TmS4 crystal from the Alexandria database. Energies are from PBE-GGA.

## Properties
- Crystal system: monoclinic
- ΔE_f (raw): -1.90 eV/atom
- SG: No. 10

```
NaPm2TmS4
1.0
6.8928 0.0000 0.0000
0.0000 3.9647 0.0000
-2.2629 0.0000 6.5296
Na Pm Tm S
1 2 1 4
Cartesian
0.0000 0.0000 0.0000 Na
-1.1314 1.9823 3.2648 Pm
2.3150 0.0000 3.2648 Pm
3.4464 1.9823 0.0000 Tm
1.2102 1.9823 1.5905 S
0.0578 0.0000 4.9879 S
4.5722 0.0000 1.5417 S
3.4198 1.9823 4.9391 S
```

---

(10)
Here is a relaxed Sm4YHg4 crystal from the Alexandria database. Energies are from PBE-GGA.

## Properties
- Crystal system: tetragonal
- SG: No. 86
- Formation energy: -0.26 eV per atom

```
Sm4YHg4
1.0
9.6039 0.0000 0.0000
0.0000 9.6039 0.0000
0.0000 0.0000 5.6466
Sm Y Hg
8 2 8
Cartesian
0.9115 8.0537 0.8322 Sm
1.5502 5.7134 3.6555 Sm
3.2518 8.6924 3.6555 Sm
3.8904 6.3521 0.8322 Sm
5.7134 3.2518 4.8144 Sm
6.3521 0.9115 1.9911 Sm
8.0537 3.8904 1.9911 Sm
8.6924 1.5502 4.8144 Sm
2.4010 2.4010 4.2350 Y
7.2029 7.2029 1.4117 Y
0.4812 1.4158 2.0104 Hg
1.4158 4.3207 0.8129 Hg
3.3862 0.4812 0.8129 Hg
4.3207 3.3862 2.0104 Hg
5.2832 6.2177 3.6362 Hg
6.2177 9.1226 4.8337 Hg
8.1881 5.2832 4.8337 Hg
9.1226 8.1881 3.6362 Hg
```

---

(11)
Here is a relaxed NbCuAs2Br crystal from the Alexandria database. Energies are from PBE-GGA.

## Properties
- Crystal system: tetragonal
- ΔE_f (raw): 0.79 eV/atom
- SG: No. 123
- E above lowest polymorph: 1.46 eV per formula unit

```
NbCuAs2Br
1.0
4.5838 0.0000 0.0000
0.0000 4.5838 0.0000
0.0000 0.0000 5.1462
Nb Cu As Br
1 1 2 1
Cartesian
0.0000 0.0000 0.0000 Nb
2.2919 2.2919 2.5731 Cu
0.0000 2.2919 2.5731 As
2.2919 0.0000 2.5731 As
2.2919 2.2919 0.0000 Br
```

---

(12)
Here is a relaxed ZrTe2Pb crystal from the Alexandria database. Energies are from PBE-GGA.

## Properties
- Crystal system: triclinic
- ΔE_f (raw): -0.60 eV/atom
- SG: No. 1

```
ZrTe2Pb
1.0
3.8807 0.0000 0.0000
0.0045 6.7778 0.0000
1.8770 1.4252 10.1503
Zr Te Pb
2 4 2
Cartesian
0.0000 0.0000 0.0000 Zr
3.8188 4.8141 10.1502 Zr
1.8796 5.9472 8.3074 Te
1.9428 5.6403 1.8381 Te
3.8192 2.5629 8.3121 Te
3.8812 2.2560 1.8429 Te
1.9301 5.4582 5.0735 Pb
3.8721 2.7493 5.0775 Pb
```

---

(13)
Here is a relaxed Ho4Bi2SbTe crystal from the Alexandria database. Energies are from PBE-GGA.

## Properties
- Crystal system: monoclinic
- ΔE_f (raw): -1.04 eV/atom
- SG: No. 10

```
Ho4Bi2SbTe
1.0
7.6272 0.0000 0.0000
0.0000 4.4096 0.0000
-2.5368 0.0000 7.1931
Ho Bi Sb Te
4 2 1 1
Cartesian
1.2569 0.0000 1.7586 Ho
-0.0087 2.2048 5.4279 Ho
5.0991 2.2048 1.7652 Ho
3.8335 0.0000 5.4345 Ho
3.8136 0.0000 0.0000 Bi
2.5452 2.2048 3.5966 Bi
0.0000 2.2048 0.0000 Sb
-1.2684 0.0000 3.5966 Te
```

---

(14)
Here is a relaxed Ti12NbGa6 crystal from the Alexandria database. Energies are from PBE-GGA.

## Properties
- Crystal system: trigonal
- SG: No. 148
- Formation energy: -0.22 eV per atom

```
Ti12NbGa6
1.0
4.8325 2.7901 3.9238
-4.8325 2.7901 3.9238
0.0000 -5.5801 3.9238
Ti Nb Ga
12 1 6
Cartesian
-4.4324 1.0043 4.9719 Ti
-3.0860 -3.3364 6.7997 Ti
-1.5711 -0.3558 3.6422 Ti
1.3465 -4.3408 4.9719 Ti
1.0937 -1.1827 3.6422 Ti
0.4774 1.5386 3.6422 Ti
-0.4774 -1.5386 8.1293 Ti
-1.0937 1.1827 8.1293 Ti
-1.3465 4.3408 6.7997 Ti
1.5711 0.3558 8.1293 Ti
3.0860 3.3364 4.9719 Ti
4.4324 -1.0043 6.7997 Ti
0.0000 0.0000 5.8858 Nb
-0.7542 -2.5968 5.3483 Ga
-2.6260 -0.6452 6.4232 Ga
-1.8717 1.9516 5.3483 Ga
1.8718 -1.9516 6.4232 Ga
2.6260 0.6452 5.3483 Ga
0.7542 2.5968 6.4232 Ga
```

---

(15)
Here is a relaxed Rb2ScOF6 crystal from the Alexandria database. Energies are from PBE-GGA.

## Properties
- Crystal system: tetragonal
- ΔE_f (raw): -2.51 eV/atom
- SG: No. 139

```
Rb2ScOF6
1.0
-3.0727 3.0727 4.3530
3.0727 -3.0727 4.3530
3.0727 3.0727 -4.3530
Rb Sc O F
2 1 1 6
Cartesian
3.0727 0.0000 2.1765 Rb
0.0000 3.0727 2.1765 Rb
0.0000 0.0000 0.0000 Sc
0.0000 0.0000 4.3530 O
0.0000 0.0000 2.0316 F
1.4363 1.4363 0.0000 F
1.6365 -1.6365 4.3530 F
-1.6365 1.6365 4.3530 F
1.6365 1.6365 4.3530 F
0.0000 0.0000 6.6744 F
```

---

(16)
Here is a relaxed HgRuSe2 crystal from the Alexandria database. Energies are from PBE-GGA.

## Properties
- Crystal system: trigonal
- ΔE_f (raw): 0.31 eV/atom
- SG: No. 166

```
HgRuSe2
1.0
2.9295 0.0000 0.0000
-1.4648 2.5370 0.0000
0.0000 0.0000 34.7266
Hg Ru Se
3 3 6
Cartesian
0.0000 0.0000 0.0000 Hg
0.0000 1.6914 23.1511 Hg
1.4648 0.8457 11.5755 Hg
0.0000 0.0000 17.3633 Ru
0.0000 1.6914 5.7878 Ru
1.4648 0.8457 28.9388 Ru
0.0000 0.0000 14.9885 Se
0.0000 0.0000 19.7381 Se
0.0000 1.6914 3.4130 Se
0.0000 1.6914 8.1626 Se
1.4648 0.8457 26.5641 Se
1.4648 0.8457 31.3137 Se
```

---

(17)
Here is a relaxed TbSmPuN3 crystal from the Alexandria database. Energies are from PBE-GGA.

## Properties
- Crystal system: monoclinic
- ΔE_f (raw): -1.00 eV/atom
- SG: No. 11

```
TbSmPuN3
1.0
7.1292 0.0000 0.0000
0.0000 3.6308 0.0000
-1.0454 0.0000 8.3636
Tb Sm Pu N
2 2 2 6
Cartesian
0.7505 0.9077 1.2939 Tb
5.3334 2.7231 7.0698 Tb
1.5189 2.7231 7.2212 Sm
4.5650 0.9077 1.1424 Sm
2.7286 2.7231 3.5114 Pu
3.3553 0.9077 4.8522 Pu
-0.1439 0.9077 7.3286 N
1.5169 0.9077 3.5456 N
2.6924 2.7231 1.2737 N
3.3914 0.9077 7.0899 N
4.5669 2.7231 4.8180 N
6.2277 2.7231 1.0350 N
```

---

(18)
Here is a relaxed YBeI2O crystal from the Alexandria database. Energies are from PBE-GGA.

## Properties
- Crystal system: tetragonal
- ΔE_f (raw): -0.65 eV/atom
- SG: No. 123
- E above lowest polymorph: 1.37 eV per formula unit

```
YBeI2O
1.0
6.1892 0.0000 0.0000
0.0000 6.1892 0.0000
0.0000 0.0000 4.1652
Y Be I O
1 1 2 1
Cartesian
0.0000 0.0000 0.0000 Y
3.0946 3.0946 2.0826 Be
0.0000 3.0946 0.0000 I
3.0946 0.0000 0.0000 I
0.0000 0.0000 2.0826 O
```

---

(19)
Here is a relaxed TbBeBPt6 crystal from the Alexandria database. Energies are from PBE-GGA.

## Properties
- Crystal system: orthorhombic
- SG: No. 74
- Formation energy: -0.51 eV per atom

```
TbBeBPt6
1.0
-3.4670 4.0853 5.4186
3.4670 -4.0853 5.4186
3.4670 4.0853 -5.4186
Tb Be B Pt
2 2 2 12
Cartesian
0.0000 2.0427 1.7346 Tb
3.4670 2.0427 3.6840 Tb
1.7335 2.0427 -2.7093 Be
1.7335 -2.0427 2.7093 Be
3.4670 0.0000 0.0000 B
0.0000 0.0000 5.4186 B
1.8855 -0.1578 1.3764 Pt
5.0485 -0.1578 1.3764 Pt
3.4670 -2.0427 4.1793 Pt
3.4670 2.0427 0.7198 Pt
1.8855 3.9275 -1.3764 Pt
1.5815 -0.1578 4.0422 Pt
1.8855 4.2431 1.3764 Pt
1.5815 0.1578 6.7950 Pt
0.0000 2.0427 4.6988 Pt
0.0000 6.1280 1.2393 Pt
-1.5815 4.2431 4.0422 Pt
1.5815 4.2431 4.0422 Pt
```

---

(20)
Here is a relaxed ReAgTe2 crystal from the Alexandria database. Energies are from PBE-GGA.

## Properties
- Crystal system: monoclinic
- ΔE_f (raw): 0.43 eV/atom
- SG: No. 8
- E above lowest polymorph: 0.46 eV per formula unit

```
ReAgTe2
1.0
10.5239 0.0000 0.0000
0.0000 3.3225 0.0000
-2.8639 0.0000 6.6010
Re Ag Te
2 2 4
Cartesian
0.0000 0.0000 0.0000 Re
5.2619 1.6612 0.0000 Re
2.9692 0.0000 0.0515 Ag
8.2311 1.6612 0.0515 Ag
-2.0263 1.6612 4.7558 Te
0.9406 1.6612 1.8039 Te
3.2357 0.0000 4.7558 Te
6.2025 0.0000 1.8039 Te
```

---

(21)
Here is a relaxed Nd2Cd9Ag6 crystal from the Alexandria database. Energies are from PBE-GGA.

## Properties
- Crystal system: hexagonal
- SG: No. 191
- Formation energy: -0.08 eV per atom

```
Nd2Cd9Ag6
1.0
5.7997 0.0000 0.0000
-2.8998 5.0227 0.0000
0.0000 0.0000 14.2887
Nd Cd Ag
2 9 6
Cartesian
0.0000 0.0000 2.0837 Nd
0.0000 0.0000 12.2050 Nd
-1.4499 2.5113 0.0000 Cd
-1.4499 2.5113 4.7838 Cd
-1.4499 2.5113 9.5049 Cd
2.8998 0.0000 0.0000 Cd
2.8998 0.0000 4.7838 Cd
2.8998 0.0000 9.5049 Cd
1.4499 2.5113 0.0000 Cd
1.4499 2.5113 4.7838 Cd
1.4499 2.5113 9.5049 Cd
0.0000 3.3484 2.4144 Ag
0.0000 3.3484 7.1444 Ag
0.0000 3.3484 11.8743 Ag
2.8998 1.6742 2.4144 Ag
2.8998 1.6742 7.1444 Ag
2.8998 1.6742 11.8743 Ag
```

---

(22)
Here is a relaxed InAgSnPt crystal from the Alexandria database. Energies are from PBE-GGA.

## Properties
- Crystal system: cubic
- SG: No. 216
- Formation energy: -0.10 eV per atom

```
InAgSnPt
1.0
6.8473 0.0000 0.0000
0.0000 6.8473 0.0000
0.0000 0.0000 6.8473
In Ag Sn Pt
4 4 4 4
Cartesian
0.0000 0.0000 0.0000 In
0.0000 3.4236 3.4236 In
3.4236 0.0000 3.4236 In
3.4236 3.4236 0.0000 In
1.7118 1.7118 5.1354 Ag
1.7118 5.1354 1.7118 Ag
5.1354 1.7118 1.7118 Ag
5.1354 5.1354 5.1354 Ag
0.0000 0.0000 3.4236 Sn
0.0000 3.4236 0.0000 Sn
3.4236 0.0000 0.0000 Sn
3.4236 3.4236 3.4236 Sn
1.7118 1.7118 1.7118 Pt
1.7118 5.1354 5.1354 Pt
5.1354 1.7118 5.1354 Pt
5.1354 5.1354 1.7118 Pt
```

---

(23)
Here is a relaxed La6AgIr2Br3 crystal from the Alexandria database. Energies are from PBE-GGA.

## Properties
- Crystal system: monoclinic
- ΔE_f (raw): -1.06 eV/atom
- SG: No. 12

```
La6AgIr2Br3
1.0
9.9916 -2.1414 0.0000
9.9916 2.1414 0.0000
-3.1803 0.0000 8.7916
La Ag Ir Br
6 1 2 3
Cartesian
-0.4238 0.0000 2.1618 La
4.9479 0.0000 3.9223 La
3.9381 0.0000 7.7091 La
12.8648 0.0000 1.0826 La
11.8550 0.0000 4.8694 La
17.2267 0.0000 6.6298 La
9.9916 0.0000 0.0000 Ag
2.2707 0.0000 2.9253 Ir
14.5322 0.0000 5.8664 Ir
0.6340 0.0000 7.3427 Br
8.4015 0.0000 4.3958 Br
16.1689 0.0000 1.4489 Br
```

---

(24)
Here is a relaxed Zn2SiAg crystal from the Alexandria database. Energies are from PBE-GGA.

## Properties
- Crystal system: monoclinic
- ΔE_f (raw): 0.15 eV/atom
- SG: No. 6

```
Zn2SiAg
1.0
2.8506 0.0000 0.0000
0.0000 4.5899 0.0000
-1.2392 0.0000 5.0339
Zn Si Ag
2 1 1
Cartesian
0.0000 0.0000 0.0000 Zn
0.0437 2.2949 1.4917 Zn
0.1569 0.0000 2.6733 Si
0.2160 2.2949 4.1871 Ag
```